# 1
Below is CaTl2W after structural relaxation, with properties calculated at the PBEsol level.

Cell lengths 3.019, 5.349, 5.500 Å; angles 90.00, 94.46, 90.00 degrees
Sites, in units of the cell vectors:
Ca (0.271, 0.500, 0.763)
Tl (0.888, 0.000, 0.982)
Tl (0.756, 0.500, 0.277)
W (0.585, 0.000, 0.477)

Values from the calculation:
magnetization = 0.00 μB/atom
energy of formation from the pure elements = 0.629 eV/atom
energy above the lowest structure with this stoichiometry = 6.5 kJ per mole of atoms
space group = No. 6
crystal system = monoclinic

=====

# 2
Below is CaTlW2 after structural relaxation, with properties calculated at the PBEsol level.

Cell lengths 2.865, 5.155, 5.291 Å; angles 90.00, 93.80, 90.00 degrees
Sites, in units of the cell vectors:
Ca (0.500, 0.500, 0.000)
Tl (0.000, 0.500, 0.500)
W (0.837, 0.000, 0.769)
W (0.163, 0.000, 0.231)

Values from the calculation:
magnetization = 0.00 μB/atom
energy of formation from the pure elements = 0.826 eV/atom
energy above the lowest structure with this stoichiometry = 24.3 kJ per mole of atoms
space group = No. 10
crystal system = monoclinic

=====

# 3
Below is CaTlW2 after structural relaxation, with properties calculated at the PBEsol level.

Cell lengths 2.986, 2.986, 9.650 Å; angles 90.00, 90.00, 111.30 degrees
Sites, in units of the cell vectors:
Ca (0.000, 0.000, 0.514)
Tl (0.500, 0.500, 0.231)
W (0.000, 0.000, 0.976)
W (0.500, 0.500, 0.778)

Values from the calculation:
magnetization = 0.00 μB/atom
energy of formation from the pure elements = 0.575 eV/atom
energy above the lowest structure with this stoichiometry = 0.0 kJ per mole of atoms
space group = No. 35
crystal system = orthorhombic

=====

# 4
Below is CaTl2W after structural relaxation, with properties calculated at the PBEsol level.

Cell lengths 3.241, 3.241, 9.896 Å; angles 80.57, 80.57, 60.00 degrees
Sites, in units of the cell vectors:
Ca (0.000, 0.000, 0.000)
Tl (0.245, 0.245, 0.266)
Tl (0.755, 0.755, 0.734)
W (0.500, 0.500, 0.500)

Values from the calculation:
magnetization = 0.00 μB/atom
energy of formation from the pure elements = 0.562 eV/atom
energy above the lowest structure with this stoichiometry = 0.0 kJ per mole of atoms
space group = No. 166
crystal system = trigonal

=====

# 5
Below is CaTlW2 after structural relaxation, with properties calculated at the PBEsol level.

Cell lengths 4.767, 4.767, 4.767 Å; angles 60.00, 60.00, 60.00 degrees
Site moments in Bohr magnetons follow the coordinates.
Sites, in units of the cell vectors:
Ca (0.000, 0.000, 0.000)  0.15
Tl (0.500, 0.500, 0.500)  -0.01
W (0.250, 0.250, 0.250)  0.92
W (0.750, 0.750, 0.750)  0.92

Values from the calculation:
magnetization = 0.64 μB/atom
energy of formation from the pure elements = 1.542 eV/atom
energy above the lowest structure with this stoichiometry = 93.3 kJ per mole of atoms
space group = No. 225
crystal system = cubic

=====

# 6
Below is CaTl2W after structural relaxation, with properties calculated at the PBEsol level.

Cell lengths 3.052, 5.416, 5.416 Å; angles 109.16, 90.00, 90.00 degrees
Sites, in units of the cell vectors:
Ca (0.500, 0.500, 0.500)
Tl (0.000, 0.500, 0.000)
Tl (0.000, 0.000, 0.500)
W (0.500, 0.000, 0.000)

Values from the calculation:
magnetization = 0.00 μB/atom
energy of formation from the pure elements = 0.625 eV/atom
energy above the lowest structure with this stoichiometry = 6.1 kJ per mole of atoms
space group = No. 65
crystal system = orthorhombic

=====

# 7
Below is CaY2Tl after structural relaxation, with properties calculated at the PBEsol level.

Cell lengths 3.575, 3.575, 9.398 Å; angles 90.00, 90.00, 90.00 degrees
Sites, in units of the cell vectors:
Y (0.000, 0.000, 0.975)
Y (0.500, 0.500, 0.234)
Tl (0.500, 0.500, 0.757)
Ca (0.000, 0.000, 0.534)

Values from the calculation:
magnetization = 0.00 μB/atom
energy of formation from the pure elements = -0.209 eV/atom
energy above the lowest structure with this stoichiometry = 1.6 kJ per mole of atoms
space group = No. 99
crystal system = tetragonal

=====

# 8
Below is Ca2YTl2 after structural relaxation, with properties calculated at the PBEsol level.

Cell lengths 3.993, 8.553, 8.553 Å; angles 90.00, 90.00, 90.00 degrees
Sites, in units of the cell vectors:
Y (0.000, 0.000, 0.000)
Y (0.000, 0.500, 0.500)
Tl (0.000, 0.364, 0.864)
Tl (0.000, 0.864, 0.636)
Tl (0.000, 0.636, 0.136)
Tl (0.000, 0.136, 0.364)
Ca (0.500, 0.164, 0.664)
Ca (0.500, 0.664, 0.836)
Ca (0.500, 0.836, 0.336)
Ca (0.500, 0.336, 0.164)

Values from the calculation:
magnetization = 0.00 μB/atom
energy of formation from the pure elements = -0.357 eV/atom
space group = No. 127
crystal system = tetragonal

=====

# 9
Below is Ca2YTl after structural relaxation, with properties calculated at the PBEsol level.

Cell lengths 3.566, 5.003, 6.798 Å; angles 90.00, 90.00, 90.00 degrees
Sites, in units of the cell vectors:
Y (0.500, 0.500, 0.500)
Tl (0.500, 0.500, 0.000)
Ca (0.000, 0.000, 0.765)
Ca (0.000, 0.000, 0.235)

Values from the calculation:
magnetization = 0.00 μB/atom
energy of formation from the pure elements = -0.136 eV/atom
energy above the lowest structure with this stoichiometry = 8.4 kJ per mole of atoms
space group = No. 47
crystal system = orthorhombic

=====

# 10
Below is Ca2YTl after structural relaxation, with properties calculated at the PBEsol level.

Cell lengths 3.605, 6.071, 6.071 Å; angles 111.33, 90.00, 90.00 degrees
Sites, in units of the cell vectors:
Y (0.500, 0.500, 0.500)
Tl (0.500, 0.000, 0.000)
Ca (0.000, 0.500, 0.000)
Ca (0.000, 0.000, 0.500)

Values from the calculation:
magnetization = 0.00 μB/atom
energy of formation from the pure elements = -0.095 eV/atom
energy above the lowest structure with this stoichiometry = 12.4 kJ per mole of atoms
space group = No. 65
crystal system = orthorhombic

=====

# 11
Below is Ca2YTl after structural relaxation, with properties calculated at the PBEsol level.

Cell lengths 4.779, 4.779, 5.134 Å; angles 90.00, 90.00, 90.00 degrees
Sites, in units of the cell vectors:
Y (0.000, 0.000, 0.500)
Tl (0.500, 0.500, 0.500)
Ca (0.000, 0.500, 0.000)
Ca (0.500, 0.000, 0.000)

Values from the calculation:
magnetization = 0.00 μB/atom
energy of formation from the pure elements = -0.224 eV/atom
energy above the lowest structure with this stoichiometry = 0.0 kJ per mole of atoms
space group = No. 123
crystal system = tetragonal

=====

# 12
Below is CaY2Tl after structural relaxation, with properties calculated at the PBEsol level.

Cell lengths 4.756, 4.862, 4.862 Å; angles 90.00, 90.00, 90.00 degrees
Sites, in units of the cell vectors:
Y (0.000, 0.000, 0.500)
Y (0.000, 0.500, 0.000)
Tl (0.500, 0.000, 0.000)
Ca (0.500, 0.500, 0.500)

Values from the calculation:
magnetization = 0.00 μB/atom
energy of formation from the pure elements = -0.210 eV/atom
energy above the lowest structure with this stoichiometry = 1.5 kJ per mole of atoms
space group = No. 123
crystal system = tetragonal